(1)
# PBE In3SbW, relaxed
data_In3SbW
_cell_length_a 5.633
_cell_length_b 5.633
_cell_length_c 5.633
_cell_angle_alpha 90.00
_cell_angle_beta 90.00
_cell_angle_gamma 90.00
_space_group_name_H-M_alt 'P m -3 m'
_space_group_IT_number 221
_space_group_name_Hall '-P 4 2 3'
loop_
_atom_site_label
_atom_site_fract_x
_atom_site_fract_y
_atom_site_fract_z
In1 0.000 0.000 0.500
Sb1 0.000 0.000 0.000
W1 0.500 0.500 0.500
# Raw formation energy = 1625 meV per atom
# Energy relative to the lowest polymorph listed for this composition = 720 meV/atom
# Raw total energy = -3.433 eV per atom


(2)
# PBE K2CoAs, relaxed
data_K2CoAs
_cell_length_a 4.351
_cell_length_b 4.351
_cell_length_c 10.299
_cell_angle_alpha 90.00
_cell_angle_beta 90.00
_cell_angle_gamma 90.00
_space_group_name_H-M_alt 'I 4/m m m'
_space_group_IT_number 139
_space_group_name_Hall '-I 4 2'
loop_
_atom_site_label
_atom_site_fract_x
_atom_site_fract_y
_atom_site_fract_z
K1 0.000 0.500 0.250
Co1 0.000 0.000 0.000
As1 0.000 0.000 0.500
# Raw total energy = -2.930 eV per atom
# Energy of formation = 0.557 eV/atom


(3)
# PBE CrNi2W, relaxed
data_CrNi2W
_cell_length_a 6.551
_cell_length_b 6.551
_cell_length_c 4.912
_cell_angle_alpha 90.00
_cell_angle_beta 90.00
_cell_angle_gamma 90.00
_space_group_name_H-M_alt 'I -4 2 d'
_space_group_IT_number 122
_space_group_name_Hall 'I -4 2bw'
loop_
_atom_site_label
_atom_site_fract_x
_atom_site_fract_y
_atom_site_fract_z
Cr1 0.000 0.000 0.000
Ni1 0.234 0.750 0.125
W1 0.000 0.000 0.500
# Energy relative to the lowest polymorph listed for this composition = 554 meV/atom
# Raw total energy = -7.952 eV per atom
# Energy of formation = 0.582 eV/atom


What is the raw total energy in the third record?
-7.952 eV per atom